A plane-wave DFT calculation with PBE was carried out for an optimized crystal structure of BeAs2Br.

```
BeAs2Br
1.0
5.314 0.000 0.000
0.000 5.314 0.000
0.000 0.000 5.528
Be As Br
2 4 2
Direct
0.000 0.000 0.000
0.500 0.500 0.500
0.000 0.500 0.000
0.000 0.500 0.500
0.500 0.000 0.000
0.500 0.000 0.500
0.000 0.000 0.500
0.500 0.500 0.000
```

The total energy is -26.1 eV for the cell shown. The symmetry is I4/mmm. The value obtained for the formation energy (no corrections) is 407 meV per atom. Its polymorph energy (0 for the lowest one) is 0.4911 eV per atom. The value obtained for the mass density is 5.080 g/cm³.